Record 1
A relaxed KLiLa3 crystal, computed with PBE-GGA. Values from VASP.

Cell and atoms, written as Quantum ESPRESSO input:
```
&SYSTEM
  ibrav = 0, nat = 5, ntyp = 3
/
ATOMIC_SPECIES
K 39.10 K.upf
Li 6.94 Li.upf
La 138.91 La.upf
CELL_PARAMETERS angstrom
5.8513 0.0000 0.0000
0.0000 5.8513 0.0000
0.0000 0.0000 5.8513
ATOMIC_POSITIONS angstrom
K 0.0000 0.0000 0.0000
Li 2.9257 2.9257 2.9257
La 0.0000 0.0000 2.9257
La 0.0000 2.9257 0.0000
La 2.9257 0.0000 0.0000
```

DOS(E_F) = 9.657 states/eV/cell
Excess energy over the best structure of this formula in the dataset = 518 meV per atom
ΔH_f (0 K) = 1.05 eV per atom
Space group = Pm-3m (221)
Total magnetization = 0.00 μB/atom
Uncorrected energy = -2.50 eV/atom

=====

Record 2
A relaxed CaNd4Co crystal, computed with PBE-GGA. Values from VASP.

Cell and atoms, written as Quantum ESPRESSO input:
```
&SYSTEM
  ibrav = 0, nat = 12, ntyp = 3
/
ATOMIC_SPECIES
Ca 40.08 Ca.upf
Nd 144.24 Nd.upf
Co 58.93 Co.upf
CELL_PARAMETERS angstrom
8.8812 -3.7547 0.0000
8.8812 3.7547 0.0000
-2.0485 0.0000 5.9455
ATOMIC_POSITIONS angstrom
Ca 3.1024 0.0000 1.1068
Ca 12.6116 0.0000 4.8387
Nd 6.1658 1.8967 2.2890
Nd 8.8812 1.8214 0.0000
Nd 4.0204 0.0000 4.7623
Nd 9.5481 1.8967 3.6565
Nd 6.1658 -1.8967 2.2890
Nd 11.6935 0.0000 1.1833
Nd 8.8812 -1.8214 0.0000
Nd 9.5481 -1.8967 3.6565
Co 7.0140 0.0000 3.9162
Co 8.6999 0.0000 2.0294
```

DOS(E_F) = 15.820 states/eV/cell
ΔH_f (0 K) = 0.03 eV per atom
Space group = C2/m (12)
Total magnetization = 0.00 μB/atom
Uncorrected energy = -4.67 eV/atom